Record 1
Crystalline ZnIr2Rh at its relaxed geometry, computed with GGA-PBEsol.

Properties
- SG = P4mm, No. 99
- ΔH_f (0 K) (kJ per mole of atoms) = -10.6

```
ZnIr2Rh
1.0
-0.7271 -0.6136 2.5469
-2.1805 -1.3232 -0.9413
3.9720 -6.2764 -0.3782
Ir Zn Rh
2 1 1
Direct
0.0000 0.0000 0.0022
0.5000 0.5000 0.2504
0.5000 0.5000 0.7476
0.0000 0.0000 0.4998
```



Record 2
Crystalline TiZnIF2 at its relaxed geometry, computed with GGA-PBEsol.

Properties
- SG = P4/mmm, No. 123
- energy relative to the elements, uncorrected (kJ per mole of atoms) = -95.18

```
TiZnIF2
1.0
3.9267 0.0000 0.0000
0.0000 3.9267 0.0000
0.0000 0.0000 6.1174
F Ti I Zn
2 1 1 1
Direct
0.5000 0.0000 0.0000
0.0000 0.5000 0.0000
0.0000 0.0000 0.5000
0.5000 0.5000 0.5000
0.0000 0.0000 0.0000
```



Record 3
Crystalline Re2TeAs at its relaxed geometry, computed with GGA-PBEsol.

Properties
- SG = Fm-3m, No. 225
- energy relative to the elements, uncorrected (kJ per mole of atoms) = 53.00
- energy relative to the lowest polymorph listed for this composition (kJ/mol of formula units) = 126

```
Re2TeAs
1.0
-3.1193 2.7572 1.6413
-2.5040 -1.2747 3.4830
0.5895 1.9172 4.0004
As Te Re
1 1 2
Direct
0.0000 0.0000 0.0000
0.5000 0.5000 0.5000
0.2500 0.2500 0.2500
0.7500 0.7500 0.7500
```



Record 4
Crystalline ScSbMo2As at its relaxed geometry, computed with GGA-PBEsol.

Properties
- SG = P4/mmm, No. 123
- energy relative to the elements, uncorrected (kJ per mole of atoms) = 170.57

```
ScSbMo2As
1.0
4.6736 0.0000 0.0000
0.0000 4.6736 0.0000
0.0000 0.0000 5.0972
As Sc Mo Sb
1 1 2 1
Direct
0.5000 0.5000 0.5000
0.0000 0.0000 0.0000
0.5000 0.0000 0.0000
0.0000 0.5000 0.0000
0.0000 0.0000 0.5000
```



Record 5
Crystalline Zn2AgCl at its relaxed geometry, computed with GGA-PBEsol.

Properties
- SG = P4mm, No. 99
- energy relative to the elements, uncorrected (kJ per mole of atoms) = -3.50
- energy relative to the lowest polymorph listed for this composition (kJ/mol of formula units) = 32

```
Zn2AgCl
1.0
3.0066 0.0000 0.0000
0.0000 3.0066 0.0000
0.0000 0.0000 7.4435
Ag Cl Zn
1 1 2
Direct
0.0000 0.0000 0.4673
0.5000 0.5000 0.7847
0.5000 0.5000 0.2375
0.0000 0.0000 0.0106
```



Record 6
Crystalline SrTl2Cr at its relaxed geometry, computed with GGA-PBEsol.

Properties
- SG = P4/mmm, No. 123
- ΔH_f (0 K) (kJ per mole of atoms) = 12.0

```
SrTl2Cr
1.0
3.6188 0.0000 0.0000
0.0000 3.6188 0.0000
0.0000 0.0000 7.5920
Tl Cr Sr
2 1 1
Direct
0.0000 0.0000 0.2040
0.0000 0.0000 0.7960
0.5000 0.5000 0.0000
0.5000 0.5000 0.5000
```



Record 7
Crystalline Ta2NiP at its relaxed geometry, computed with GGA-PBEsol.

Properties
- SG = Amm2, No. 38
- ΔH_f (0 K) (kJ per mole of atoms) = -70.0

```
Ta2NiP
1.0
3.4327 0.0000 0.0000
0.0000 3.4944 0.0000
-1.7163 0.0000 4.6954
Ta Ni P
2 1 1
Direct
0.0936 0.0000 0.1873
0.4051 0.5000 0.8102
0.8189 0.0000 0.6378
0.6816 0.5000 0.3633
```



Record 8
Crystalline HfTaSiSb2 at its relaxed geometry, computed with GGA-PBEsol.

Properties
- SG = P4/mmm, No. 123
- energy relative to the elements, uncorrected (kJ per mole of atoms) = 106.80

```
HfTaSiSb2
1.0
-2.5879 -3.4992 -1.8655
3.9385 -3.0453 0.2484
-1.3833 -1.4159 4.5748
Hf Sb Ta Si
1 2 1 1
Direct
0.5000 0.0000 0.0000
0.0000 0.5000 0.0000
0.0000 0.0000 0.5000
0.5000 0.5000 0.5000
0.0000 0.0000 0.0000
```



Record 9
Crystalline Te2MoRu at its relaxed geometry, computed with GGA-PBEsol.

Properties
- SG = C2/m, No. 12
- energy relative to the elements, uncorrected (kJ per mole of atoms) = 74.39
- energy relative to the lowest polymorph listed for this composition (kJ/mol of formula units) = 192

```
Te2MoRu
1.0
3.0866 -0.0104 -0.0153
-1.4500 5.1688 -0.0224
-1.4500 -1.9323 4.7941
Te Ru Mo
2 1 1
Direct
0.0000 0.5000 0.0000
0.0000 0.0000 0.5000
0.0000 0.5000 0.5000
0.0000 0.0000 0.0000
```



Record 10
Crystalline Zr4IrW at its relaxed geometry, computed with GGA-PBEsol.

Properties
- SG = F-43m, No. 216
- ΔH_f (0 K) (kJ per mole of atoms) = 56.6

```
Zr4IrW
1.0
5.4373 0.0000 0.0000
2.7187 4.7089 0.0000
2.7187 1.5696 4.4395
Zr Ir W
4 1 1
Direct
0.3752 0.8745 0.3752
0.3752 0.3752 0.8745
0.3752 0.3752 0.3752
0.8745 0.3752 0.3752
0.7500 0.7500 0.7500
0.0000 0.0000 0.0000
```



Record 11
Crystalline Mg2InW at its relaxed geometry, computed with GGA-PBEsol.

Properties
- SG = P4/mmm, No. 123
- ΔH_f (0 K) (kJ per mole of atoms) = 26.9

```
Mg2InW
1.0
2.8688 0.0000 0.0000
0.0000 2.8688 0.0000
0.0000 0.0000 9.2193
In Mg W
1 2 1
Direct
0.5000 0.5000 0.5000
0.0000 0.0000 0.2297
0.0000 0.0000 0.7703
0.5000 0.5000 0.0000
```



Record 12
Crystalline BaScPb2 at its relaxed geometry, computed with GGA-PBEsol.

Properties
- SG = P4/mmm, No. 123
- ΔH_f (0 K) (kJ per mole of atoms) = -24.5

```
BaScPb2
1.0
4.6323 0.0000 0.0000
0.0000 5.1000 0.0000
0.0000 0.0000 5.1000
Ba Pb Sc
1 2 1
Direct
0.5000 0.0000 0.0000
0.0000 0.0000 0.5000
0.0000 0.5000 0.0000
0.5000 0.5000 0.5000
```



Record 13
Crystalline La2SiPt at its relaxed geometry, computed with GGA-PBEsol.

Properties
- SG = R3m, No. 160
- energy relative to the elements, uncorrected (kJ per mole of atoms) = -81.84

```
La2SiPt
1.0
-3.8972 -1.8430 0.6793
-0.2596 -3.9110 1.9190
-1.6771 0.5009 5.7565
Pt Si La
1 1 2
Direct
0.5476 0.5476 0.3572
0.2007 0.2007 0.3979
0.9858 0.9858 0.0426
0.7659 0.7659 0.7023
```



Record 14
Crystalline ScBeRe2 at its relaxed geometry, computed with GGA-PBEsol.

Properties
- SG = C2/m, No. 12
- ΔH_f (0 K) (kJ per mole of atoms) = 14.2

```
ScBeRe2
1.0
-2.0459 -1.1731 1.2827
-1.6072 -0.6842 -4.6509
3.9203 -2.8982 1.5235
Re Be Sc
2 1 1
Direct
0.5000 0.5000 0.5000
0.0000 0.0000 0.5000
0.0000 0.5000 0.0000
0.5000 0.0000 0.0000
```



Record 15
Crystalline LiCu2Ni at its relaxed geometry, computed with GGA-PBEsol.

Properties
- SG = C2/m, No. 12
- ΔH_f (0 K) (kJ per mole of atoms) = 1.4
- energy relative to the lowest polymorph listed for this composition (kJ/mol of formula units) = 13

```
LiCu2Ni
1.0
-1.0674 1.6163 1.5227
1.9192 -2.9789 2.5141
3.4005 2.7111 -0.4941
Li Cu Ni
1 2 1
Direct
0.0000 0.0000 0.5000
0.7572 0.5145 0.7565
0.2428 0.4855 0.2435
0.5000 0.0000 0.0000
```



Record 16
Crystalline ZrScIn2 at its relaxed geometry, computed with GGA-PBEsol.

Properties
- SG = Imm2, No. 44
- ΔH_f (0 K) (kJ per mole of atoms) = -36.8
- energy relative to the lowest polymorph listed for this composition (kJ/mol of formula units) = 20

```
ZrScIn2
1.0
3.9496 0.0000 0.0000
0.0000 4.4517 0.0000
-1.9748 -2.2259 4.9573
In Zr Sc
2 1 1
Direct
0.2585 0.2585 0.5169
0.9916 0.4916 0.9833
0.7485 0.7485 0.4971
0.5014 0.0014 0.0027
```



Record 17
Crystalline In2AsBr at its relaxed geometry, computed with GGA-PBEsol.

Properties
- SG = Cmm2, No. 35
- energy relative to the elements, uncorrected (kJ per mole of atoms) = -1.61
- energy relative to the lowest polymorph listed for this composition (kJ/mol of formula units) = 42

```
In2AsBr
1.0
3.4011 -0.0398 0.0000
-0.8439 3.2950 0.0000
0.0000 0.0000 9.0647
As Br In
1 1 2
Direct
0.0000 0.0000 0.5386
0.5000 0.5000 0.2192
0.0000 0.0000 0.0058
0.5000 0.5000 0.7364
```



Record 18
Crystalline La5Mo4O16 at its relaxed geometry, computed with GGA-PBEsol.

Properties
- SG = P-1, No. 2
- energy relative to the elements, uncorrected (kJ per mole of atoms) = -268.24

```
La5Mo4O16
1.0
5.5766 -0.0134 0.0235
-0.0287 5.5753 0.0068
-0.6850 -0.6136 10.3054
O La Mo
16 5 4
Direct
0.3034 0.3089 0.4336
0.9165 0.9174 0.8219
0.7024 0.2251 0.6415
0.2976 0.7749 0.3585
0.2668 0.7656 0.9992
0.4572 0.4587 0.1905
0.7879 0.7870 0.3256
0.5428 0.5413 0.8095
0.7718 0.2943 0.3584
0.2282 0.7057 0.6416
0.7711 0.7409 0.0454
0.7332 0.2344 0.0008
0.2121 0.2130 0.6744
0.0835 0.0826 0.1781
0.6966 0.6911 0.5664
0.2289 0.2591 0.9546
0.9704 0.4869 0.7861
0.4827 0.9739 0.7905
0.0296 0.5131 0.2139
0.5173 0.0261 0.2095
0.0000 0.0000 0.5000
0.0000 0.0000 0.0000
0.5605 0.5603 0.3980
0.4395 0.4397 0.6020
0.5000 0.5000 0.0000
```



Record 19
Crystalline RbAl2Bi2 at its relaxed geometry, computed with GGA-PBEsol.

Properties
- SG = I4/mmm, No. 139
- ΔH_f (0 K) (kJ per mole of atoms) = -9.3

```
RbAl2Bi2
1.0
4.7096 0.0000 0.0000
0.0000 4.7096 0.0000
-2.3548 -2.3548 7.4331
Al Bi Rb
2 2 1
Direct
0.2500 0.7500 0.5000
0.7500 0.2500 0.5000
0.6386 0.6386 0.2773
0.3614 0.3614 0.7227
0.0000 0.0000 0.0000
```



Record 20
Crystalline NiP2S6 at its relaxed geometry, computed with GGA-PBEsol.

Properties
- SG = C2, No. 5
- energy relative to the elements, uncorrected (kJ per mole of atoms) = -16.01

```
NiP2S6
1.0
5.6797 0.0002 0.0038
-2.8397 4.9188 0.0038
-0.9113 -1.5782 6.3844
S Ni P
6 1 2
Direct
0.1060 0.4397 0.2379
0.7127 0.7426 0.2381
0.2574 0.2873 0.7619
0.4098 0.0462 0.2393
0.9538 0.5902 0.7607
0.5603 0.8940 0.7621
0.3333 0.6667 0.0000
0.9457 0.9457 0.8319
0.0543 0.0543 0.1681
```



Looking at total magnetization for the records above, in order, we have 0.0002, 0.5209, 0.0000, 0.3885, 0.0000, 1.0160, 0.0000, 0.0002, 0.0002, 0.0000, 0.0001, 0.0930, 0.0000, 0.0000, 0.0000, 0.0000, 0.0000, 0.0718, 0.0000, 0.0018 μB per atom.
Looking at DOS(E_F) for the records above, in order, we have 3.14, 3.78, 2.69, 6.88, 1.06, 2.16, 1.66, 5.84, 4.59, 8.56, 1.58, 3.44, 1.20, 2.58, 2.24, 2.93, 1.14, 10.98, 0.97, 0.13 states/eV/f.u..